Below is a relaxed In5AgSe8 crystal, with properties calculated at the GGA-PBE level. Values from VASP.

Structure (Quantum ESPRESSO input):
```
&SYSTEM
  ibrav = 0, nat = 14, ntyp = 3
/
ATOMIC_SPECIES
In 114.82 In.upf
Ag 107.87 Ag.upf
Se 78.96 Se.upf
CELL_PARAMETERS angstrom
5.887 0.000 0.000
0.000 5.887 0.000
0.000 0.000 12.083
ATOMIC_POSITIONS angstrom
In 0.000 0.000 0.000
In 0.000 2.943 3.057
In 0.000 2.943 9.026
In 2.943 0.000 3.057
In 2.943 0.000 9.026
Ag 2.943 2.943 6.041
Se 1.345 1.345 7.485
Se 1.345 4.542 4.598
Se 1.610 1.610 1.352
Se 1.610 4.277 10.731
Se 4.277 1.610 10.731
Se 4.277 4.277 1.352
Se 4.542 1.345 4.598
Se 4.542 4.542 7.485
```

- distance to the lowest polymorph of the same formula (meV/atom) = 2.2
- V (Å³/f.u.) = 418.7
- magnetization (μB per formula unit) = 0.00
- E_form (uncorrected) (kJ/mol of formula units) = -674.1



Below is a relaxed CaSc2Al crystal, with properties calculated at the GGA-PBE level. Values from VASP.

Structure (Quantum ESPRESSO input):
```
&SYSTEM
  ibrav = 0, nat = 8, ntyp = 3
/
ATOMIC_SPECIES
Ca 40.08 Ca.upf
Sc 44.96 Sc.upf
Al 26.98 Al.upf
CELL_PARAMETERS angstrom
-2.194 2.194 10.840
2.194 -2.194 10.840
2.194 2.194 -10.840
ATOMIC_POSITIONS angstrom
Ca 0.000 0.000 0.000
Ca 0.000 2.194 5.420
Sc 1.097 -0.976 8.130
Sc 1.218 1.097 2.710
Sc 1.097 3.171 -2.710
Sc 0.976 1.097 13.550
Al 2.194 0.000 5.420
Al 0.000 0.000 10.840
```

- V (Å³/f.u.) = 104.4
- magnetization (μB per formula unit) = 0.00
- formation energy from the elements (eV/f.u.) = 1.21



Below is a relaxed Rb2EuI crystal, with properties calculated at the GGA-PBE level. Values from VASP.

Structure (Quantum ESPRESSO input):
```
&SYSTEM
  ibrav = 0, nat = 4, ntyp = 3
/
ATOMIC_SPECIES
Rb 85.47 Rb.upf
Eu 151.96 Eu.upf
I 126.90 I.upf
CELL_PARAMETERS angstrom
2.305 1.331 13.466
-2.305 1.331 13.466
0.000 -2.661 13.466
ATOMIC_POSITIONS angstrom
Rb 0.000 0.000 4.267
Rb 0.000 0.000 36.130
Eu 0.000 0.000 0.000
I 0.000 0.000 20.199
```

- V (Å³/f.u.) = 247.7
- magnetization (μB per formula unit) = 7.49
- E_form (uncorrected) (kJ/mol of formula units) = -188.5



Below is a relaxed NaAsRhSe2 crystal, with properties calculated at the GGA-PBE level. Values from VASP.

Structure (Quantum ESPRESSO input):
```
&SYSTEM
  ibrav = 0, nat = 5, ntyp = 4
/
ATOMIC_SPECIES
Na 22.99 Na.upf
As 74.92 As.upf
Rh 102.91 Rh.upf
Se 78.96 Se.upf
CELL_PARAMETERS angstrom
5.232 0.000 0.000
0.000 5.232 0.000
0.000 0.000 4.599
ATOMIC_POSITIONS angstrom
Na 0.000 0.000 0.000
As 2.616 2.616 2.299
Rh 2.616 2.616 0.000
Se 0.000 2.616 2.299
Se 2.616 0.000 2.299
```

- distance to the lowest polymorph of the same formula (meV/atom) = 153.1
- V (Å³/f.u.) = 125.9
- magnetization (μB per formula unit) = 0.69
- E_form (uncorrected) (kJ/mol of formula units) = 53.1